[1]
Zr2GeSe | PBE | relaxed

abc: 4.785 4.785 4.785
angles: 60.00 60.00 60.00
Atoms (fractional coordinates):
Zr (0.250, 0.250, 0.250)
Zr (0.750, 0.750, 0.750)
Ge (0.000, 0.000, 0.000)
Se (0.500, 0.500, 0.500)

Properties
E_tot: -7.00 eV per atom
Formation energy without anion corrections: -0.70 eV per atom

[2]
K2BeH4 | PBE | relaxed

abc: 5.591 5.480 7.768
angles: 90.00 101.61 90.00
Atoms (fractional coordinates):
K (0.224, 0.250, 0.030)
K (0.263, 0.250, 0.543)
K (0.737, 0.750, 0.457)
K (0.776, 0.750, 0.970)
Be (0.199, 0.750, 0.774)
Be (0.801, 0.250, 0.226)
H (0.042, 0.538, 0.735)
H (0.042, 0.962, 0.735)
H (0.298, 0.750, 0.963)
H (0.390, 0.750, 0.669)
H (0.610, 0.250, 0.331)
H (0.702, 0.250, 0.037)
H (0.958, 0.038, 0.265)
H (0.958, 0.462, 0.265)

Properties
E_tot: -3.06 eV per atom

[3]
CsRb2As2 | PBE | relaxed

abc: 7.780 7.780 7.780
angles: 137.50 137.50 61.67
Atoms (fractional coordinates):
Cs (0.000, 0.000, 0.000)
Rb (0.250, 0.750, 0.500)
Rb (0.750, 0.250, 0.500)
As (0.410, 0.410, 0.000)
As (0.590, 0.590, 0.000)

Properties
E_tot: -2.69 eV per atom
DFT formation energy: -0.275 eV/atom

[4]
V2CrB4 | PBE | relaxed

abc: 5.942 5.942 5.942
angles: 143.39 143.39 52.74
Atoms (fractional coordinates):
V (0.121, 0.121, 0.000)
V (0.879, 0.879, 0.000)
Cr (0.500, 0.500, 0.000)
B (0.000, 0.500, 0.500)
B (0.314, 0.314, 0.000)
B (0.500, 0.000, 0.500)
B (0.686, 0.686, 0.000)

Properties
E_tot: -7.30 eV per atom
DFT formation energy: 0.493 eV/atom

| no. | density of states at the Fermi level (states/eV/cell) |
| --- | --- |
| 1 | 6.0 |
| 2 | 0.0 |
| 3 | 3.1 |
| 4 | 2.9 |